## NaPu3Bi4 (PBE-GGA)

Data for a relaxed structure of NaPu3Bi4.

```
NaPu3Bi4
1.0
-1.554 0.319 2.964
4.772 -2.147 2.733
4.344 11.043 1.089
Bi Na Pu
4 1 3
direct
0.000 0.500 0.746
0.000 0.000 0.000
0.000 0.500 0.254
0.000 0.000 0.500
0.500 0.500 0.000
0.500 0.000 0.759
0.500 0.500 0.500
0.500 0.000 0.241
```

space-group type: Pmmm
energy of formation: -30 kJ per mole of atoms
spin magnetization: 5.5 μB/cell